Here is a geometry-optimized RbNd2PuO6 structure from Alexandria via LeMat-Bulk. Energies are from PBE.

Unit cell a=6.4846 b=6.4846 c=6.4846 alpha=56.58 beta=56.58 gamma=56.58
Positions (direct):
Rb 0.0000 0.0000 0.0000
Nd 0.2537 0.2537 0.2537
Nd 0.7723 0.7723 0.7723
Pu 0.4595 0.4595 0.4595
O 0.0847 0.5869 0.4462
O 0.2016 0.5205 0.8406
O 0.4462 0.0847 0.5869
O 0.5205 0.8406 0.2016
O 0.5869 0.4462 0.0847
O 0.8406 0.2016 0.5205

Values from the calculation:
space group	No. 146
total moment	0.3000	μB per atom
calculated volume	17.8	A^3/atom
calculated total energy	-8.320	eV/atom